Below is a geometry-optimized Tb5PmHg4 structure, with properties calculated at the PBE level.

Geometry as POSCAR:
```
Tb5PmHg4
1.0
3.7065 0.0000 0.0000
0.0000 3.7065 0.0000
0.0000 0.0000 20.1601
Tb Pm Hg
5 1 4
Direct
0.0000 0.0000 0.0000
0.0000 0.0000 0.1875
0.0000 0.0000 0.3760
0.0000 0.0000 0.6240
0.0000 0.0000 0.8125
0.5000 0.5000 0.5000
0.5000 0.5000 0.0951
0.5000 0.5000 0.2836
0.5000 0.5000 0.7164
0.5000 0.5000 0.9049
```

Summary:
**Space group**: P4/mmm, No. 123
**ΔE_f**: -0.377 eV/atom
**Total energy**: -3.288 eV per atom
**M_tot**: 0.517 μB/cell

***

Below is a geometry-optimized Tb3Pm4Hg structure, with properties calculated at the PBE level.

Geometry as POSCAR:
```
Tb3Pm4Hg
1.0
3.6449 0.0000 0.0000
0.0000 3.6449 0.0000
0.0000 0.0000 19.2249
Tb Pm Hg
3 4 1
Direct
0.0000 0.0000 0.0000
0.0000 0.0000 0.2615
0.0000 0.0000 0.7385
0.5000 0.5000 0.1306
0.5000 0.5000 0.3931
0.5000 0.5000 0.6069
0.5000 0.5000 0.8694
0.0000 0.0000 0.5000
```

Summary:
**Space group**: P4/mmm, No. 123
**ΔE_f**: -0.102 eV/atom
**Total energy**: -4.251 eV per atom
**M_tot**: 0.000 μB/cell

***

no.,DOS(E_F) (states/eV/f.u.)
1,11.962
2,10.467